No. 1
First-principles (PBE) data for a relaxed structure of Na3In3Hg5, as listed in Alexandria via LeMat-Bulk.

```
data_Na3In3Hg5
_cell_length_a 10.5678
_cell_length_b 10.5678
_cell_length_c 3.2931
_cell_angle_alpha 90.00
_cell_angle_beta 90.00
_cell_angle_gamma 120.00
_symmetry_space_group_name_H-M 'P -6 2 m'
_symmetry_Int_Tables_number 189
_symmetry_space_group_name_Hall 'P -6 -2'
loop_
_atom_site_label
_atom_site_type_symbol
_atom_site_fract_x
_atom_site_fract_y
_atom_site_fract_z
Na1 Na 0.0000 0.5760 0.0000
In1 In 0.0000 0.8338 0.5000
Hg1 Hg 0.0000 0.3321 0.5000
Hg2 Hg 0.3333 0.6667 0.5000
```

Output
Its electronic total energy is -1.327 eV per atom. The calculation puts the formation energy from the elements at -83 meV/atom.

=====

No. 2
First-principles (PBE) data for a relaxed structure of Na2InHg16, as listed in Alexandria via LeMat-Bulk.

```
data_Na2InHg16
_cell_length_a 9.7922
_cell_length_b 9.7922
_cell_length_c 18.8529
_cell_angle_alpha 90.00
_cell_angle_beta 90.00
_cell_angle_gamma 120.00
_symmetry_space_group_name_H-M 'R 3 m'
_symmetry_Int_Tables_number 160
_symmetry_space_group_name_Hall 'R 3 -2"'
loop_
_atom_site_label
_atom_site_type_symbol
_atom_site_fract_x
_atom_site_fract_y
_atom_site_fract_z
Na1 Na 0.0000 0.0000 0.0000
Na2 Na 0.0000 0.0000 0.3006
In1 In 0.0000 0.0000 0.6808
Hg1 Hg 0.0000 0.0000 0.5183
Hg2 Hg 0.0014 0.3198 0.6189
Hg3 Hg 0.1925 0.3851 0.0852
Hg4 Hg 0.2110 0.4220 0.4718
Hg5 Hg 0.2196 0.4392 0.8204
```

Output
Its electronic total energy is -0.605 eV per atom. The calculation puts the formation energy from the elements at -68 meV/atom.

=====

No. 3
First-principles (PBE) data for a relaxed structure of Na7InHg4, as listed in Alexandria via LeMat-Bulk.

```
data_Na7InHg4
_cell_length_a 14.5464
_cell_length_b 5.8929
_cell_length_c 9.4785
_cell_angle_alpha 90.00
_cell_angle_beta 119.93
_cell_angle_gamma 90.00
_symmetry_space_group_name_H-M 'C 1 2/m 1'
_symmetry_Int_Tables_number 12
loop_
_symmetry_equiv_pos_as_xyz
'x,y,z'
'-x,-y,-z'
'-x,y,-z'
'x,-y,z'
'x+1/2,y+1/2,z'
'-x+1/2,-y+1/2,-z'
'-x+1/2,y+1/2,-z'
'x+1/2,-y+1/2,z'
loop_
_atom_site_label
_atom_site_type_symbol
_atom_site_fract_x
_atom_site_fract_y
_atom_site_fract_z
Na1 Na 0.0000 0.0000 0.0000
Na2 Na 0.0735 0.5000 0.4026
Na3 Na 0.1898 0.5000 0.8769
Na4 Na 0.2468 0.0000 0.7096
In1 In 0.0000 0.5000 0.0000
Hg1 Hg 0.0331 0.0000 0.6894
Hg2 Hg 0.1873 0.0000 0.3434
```

Output
The value obtained for the polymorph energy (0 for the lowest one) is 56 meV per atom. Its electronic total energy is -1.220 eV per atom. The calculation puts the formation energy from the elements at -121 meV/atom.